1.
A plane-wave DFT calculation with PBE was carried out for a geometry-optimized AcGe structure.

Cell lengths 4.602, 4.602, 4.602 Å; angles 60.00, 60.00, 60.00 degrees
Positions (direct):
Ac 0.000 0.000 0.000
Ge 0.500 0.500 0.500

space-group type = No. 225
calculated formation energy = -0.53 eV/atom
total DFT energy (no corrections) = -4.89 eV/atom
total moment = 0.000 μB per formula unit

2.
A plane-wave DFT calculation with PBE was carried out for a geometry-optimized Ta2AlV structure.

Cell lengths 7.190, 7.190, 5.770 Å; angles 51.46, 51.46, 90.00 degrees
Positions (direct):
V 0.000 0.000 0.000
V 0.750 0.250 0.500
Al 0.500 0.500 0.000
Al 0.250 0.750 0.500
Ta 0.639 0.125 0.250
Ta 0.111 0.625 0.250
Ta 0.375 0.361 0.750
Ta 0.875 0.889 0.750

space-group type = No. 122
calculated formation energy = 0.59 eV/atom
total DFT energy (no corrections) = -8.56 eV/atom
total moment = 0.000 μB per formula unit

3.
A plane-wave DFT calculation with PBE was carried out for a geometry-optimized Li2Hg2Pd structure.

Cell lengths 3.673, 3.673, 7.315 Å; angles 75.46, 75.46, 90.00 degrees
Positions (direct):
Hg 0.394 0.394 0.212
Hg 0.606 0.606 0.788
Pd 0.000 0.000 0.000
Li 0.750 0.250 0.500
Li 0.250 0.750 0.500

space-group type = No. 139
calculated formation energy = -0.13 eV/atom
total DFT energy (no corrections) = -2.05 eV/atom
total moment = 0.000 μB per formula unit
offset from the most stable computed form = 5.384 kcal/mol of atoms